# HfSc2Be (PBE, optimized geometry)
data_HfSc2Be
_chemical_formula_sum 'Hf3 Sc6 Be3'
_cell_length_a 3.0886
_cell_length_b 3.0886
_cell_length_c 30.2470
_cell_angle_alpha 90.00
_cell_angle_beta 90.00
_cell_angle_gamma 120.00
_space_group_name_H-M_alt 'R -3 m'
_space_group_IT_number 166
_space_group_name_Hall '-R 3 2"'
loop_
_atom_site_label
_atom_site_type_symbol
_atom_site_fract_x
_atom_site_fract_y
_atom_site_fract_z
Hf1 Hf 0.0000 0.0000 0.0000
Sc1 Sc 0.0000 0.0000 0.1020
Be1 Be 0.0000 0.0000 0.5000
# - Size of the total moment: 0.00 μB/f.u.
# - Uncorrected energy: -6.19 eV/atom
# - ΔE_f: 394 meV/atom



# Hf2ScBe (PBE, optimized geometry)
data_Hf2ScBe
_chemical_formula_sum 'Hf2 Sc1 Be1'
_cell_length_a 3.111
_cell_length_b 3.111
_cell_length_c 7.954
_cell_angle_alpha 90.00
_cell_angle_beta 90.00
_cell_angle_gamma 90.00
_space_group_name_H-M_alt 'P 4/m m m'
_space_group_IT_number 123
_space_group_name_Hall '-P 4 2'
loop_
_atom_site_label
_atom_site_type_symbol
_atom_site_fract_x
_atom_site_fract_y
_atom_site_fract_z
Hf1 Hf 0.000 0.000 0.206
Sc1 Sc 0.500 0.500 0.500
Be1 Be 0.500 0.500 0.000
# - Size of the total moment: 0.00 μB/f.u.
# - Uncorrected energy: -7.45 eV/atom
# - ΔE_f: 44 meV/atom



# Hf2ScBe (PBE, optimized geometry)
data_Hf2ScBe
_chemical_formula_sum 'Hf8 Sc4 Be4'
_cell_length_a 4.036
_cell_length_b 4.036
_cell_length_c 20.008
_cell_angle_alpha 90.00
_cell_angle_beta 90.00
_cell_angle_gamma 90.00
_space_group_name_H-M_alt 'I -4 2 d'
_space_group_IT_number 122
_space_group_name_Hall 'I -4 2bw'
loop_
_atom_site_label
_atom_site_type_symbol
_atom_site_fract_x
_atom_site_fract_y
_atom_site_fract_z
Hf1 Hf 0.238 0.250 0.125
Sc1 Sc 0.000 0.000 0.500
Be1 Be 0.000 0.000 0.000
# - Size of the total moment: 0.00 μB/f.u.
# - Uncorrected energy: -6.92 eV/atom
# - ΔE_f: 568 meV/atom



# HfScBe4 (PBE, optimized geometry)
data_HfScBe4
_chemical_formula_sum 'Hf4 Sc4 Be16'
_cell_length_a 6.740
_cell_length_b 6.740
_cell_length_c 6.740
_cell_angle_alpha 90.00
_cell_angle_beta 90.00
_cell_angle_gamma 90.00
_space_group_name_H-M_alt 'F -4 3 m'
_space_group_IT_number 216
_space_group_name_Hall 'F -4 2 3'
loop_
_atom_site_label
_atom_site_type_symbol
_atom_site_fract_x
_atom_site_fract_y
_atom_site_fract_z
Hf1 Hf 0.000 0.000 0.000
Sc1 Sc 0.250 0.250 0.750
Be1 Be 0.126 0.126 0.374
# - Size of the total moment: 0.00 μB/f.u.
# - Uncorrected energy: -5.25 eV/atom
# - ΔE_f: -56 meV/atom